1.
A plane-wave DFT calculation with PBE-GGA was carried out for YCu9Ag2 after structural relaxation.

a b c (Å): 4.9965 4.9965 24.1205
angles (deg): 90.00 90.00 120.00
Space group R-3m (No. 166, hexagonal axes)
One atom of each set of equivalent atoms:
Y (0.0000, 0.0000, 0.0000)
Cu (0.0000, 0.0000, 0.3334)
Cu (0.0000, 0.0000, 0.5000)
Cu (0.0027, 0.5013, 0.9154)
Ag (0.0000, 0.0000, 0.1445)

- Calculated formation energy: -80.5 meV/atom
- Total magnetization: 0.0000 μB/atom

---

2.
A plane-wave DFT calculation with PBE-GGA was carried out for Y8Cu2Ag after structural relaxation.

a b c (Å): 8.536 13.387 5.554
angles (deg): 90.00 106.16 90.00
Space group Cm (No. 8)
One atom of each set of equivalent atoms:
Y (0.000, 0.000, 0.000)
Y (0.091, 0.374, 0.791)
Y (0.174, 0.126, 0.594)
Y (0.266, 0.500, 0.385)
Y (0.382, 0.233, 0.192)
Cu (0.383, 0.306, 0.693)
Ag (0.383, 0.000, 0.197)

- Calculated formation energy: -5.9 meV/atom
- Total magnetization: 0.0002 μB/atom

---

Question: The highest calculated formation energy belongs to which entry?
Answer: Y8Cu2Ag

---

Question: Which value of calculated formation energy does entry 1 give?
Answer: -80.5 meV/atom

---

Question: Which formula does entry 2 have?
Answer: Y8Cu2Ag